The following is a GGA-PBE calculation of a relaxed BeH crystal, from the Alexandria database.

Cell: 7.2576 7.2576 2.0471 Å, 90.00 90.00 90.00°
Closest atoms and distances in Å follow each position.
Positions (direct):
Be: 0.0997 0.0997 0.0000  2 H 1.43
Be: 0.4003 0.5997 0.5000  2 H 1.43
Be: 0.5997 0.4003 0.5000  2 H 1.43
Be: 0.9003 0.9003 0.0000  2 H 1.43
H: 0.1971 0.1971 0.5000  2 Be 1.43
H: 0.3029 0.6971 0.0000  2 Be 1.43
H: 0.6971 0.3029 0.0000  2 Be 1.43
H: 0.8029 0.8029 0.5000  2 Be 1.43

Results
Its final energy is -3.154 eV per atom.